A relaxed structure of La3Tb2N4, computed with PBE-GGA.

The structure in extended XYZ format:
```
9
Lattice="-1.743 3.050 0.798 -0.502 -1.576 -3.200 -11.664 -8.189 5.877" Properties=species:S:1:pos:R:3 pbc="T T T"
La -8.198 -5.142 1.805
La -5.711 -1.573 1.671
La 0.000 0.000 0.000
Tb -10.793 -5.134 4.236
Tb -3.116 -1.581 -0.760
N -2.569 0.636 0.089
N -11.340 -7.352 3.386
N -5.137 0.663 2.506
N -8.772 -7.379 0.969
```

Calculated values
Crystal system: monoclinic
Formation energy without anion corrections: -1.311 eV per atom

A relaxed structure of TlCo2Sn, computed with PBE-GGA.

The structure in extended XYZ format:
```
4
Lattice="-3.270 2.281 2.089 -0.098 4.495 -0.213 -3.191 2.070 -2.407" Properties=species:S:1:pos:R:3 pbc="T T T"
Sn 0.000 0.000 0.000
Tl -3.279 4.423 -0.266
Co -1.640 2.212 -0.133
Co -4.919 6.635 -0.398
```

Calculated values
Crystal system: cubic
Formation energy from the elements: 0.368 eV/atom

A relaxed structure of CeNdTc2, computed with PBE-GGA.

The structure in extended XYZ format:
```
4
Lattice="-0.997 -2.834 -1.686 -0.369 -1.654 2.999 -6.792 2.174 0.363" Properties=species:S:1:pos:R:3 pbc="T T T"
Tc -1.463 0.468 0.078
Tc -5.329 1.706 0.285
Ce -0.683 -2.244 0.657
Nd -4.079 -1.157 0.839
```

Calculated values
Crystal system: tetragonal
Formation energy from the elements: 0.145 eV/atom

A relaxed structure of La2ErScO6, computed with PBE-GGA.

The structure in extended XYZ format:
```
20
Lattice="5.785 0.000 -0.032 0.000 5.967 0.000 0.005 0.000 8.333" Properties=species:S:1:pos:R:3 pbc="T T T"
Sc 2.895 0.000 4.151
Sc 0.000 2.983 0.000
La 5.705 0.290 6.215
La 2.980 3.273 6.237
La 2.810 2.694 2.064
La 0.085 5.677 2.086
O 3.997 1.765 4.670
O 1.710 4.133 0.495
O 4.605 4.818 4.646
O 1.793 4.202 3.631
O 1.102 1.218 0.519
O 1.184 1.149 3.656
O 4.079 1.834 7.807
O 0.675 2.701 6.301
O 5.114 3.266 2.000
O 4.687 4.749 7.782
O 2.225 5.684 6.183
O 3.565 0.283 2.119
Er 2.892 0.000 -0.016
Er 0.003 2.983 4.167
```

Calculated values
Crystal system: monoclinic
Formation energy without anion corrections: -3.519 eV per atom

A relaxed structure of RbTh2Te3, computed with PBE-GGA.

The structure in extended XYZ format:
```
6
Lattice="-2.857 -1.187 2.365 2.363 -2.712 1.493 3.890 8.256 8.840" Properties=species:S:1:pos:R:3 pbc="T T T"
Te 0.000 0.000 0.000
Te 1.150 2.441 2.614
Te 2.739 5.815 6.226
Rb 1.698 2.179 6.349
Th 0.354 -0.674 3.294
Th 3.042 5.031 9.404
```

Calculated values
Crystal system: tetragonal
Formation energy without anion corrections: -1.146 eV per atom

A relaxed structure of Ca3Pr2Rh2, computed with PBE-GGA.

The structure in extended XYZ format:
```
7
Lattice="-2.988 -0.108 2.738 3.573 -5.618 0.682 5.159 6.581 2.883" Properties=species:S:1:pos:R:3 pbc="T T T"
Rh 3.935 -3.365 1.166
Rh 1.808 4.221 5.137
Pr 1.752 -1.752 1.845
Pr 3.992 2.608 4.458
Ca 0.431 1.772 3.540
Ca -1.494 -0.054 1.369
Ca 5.313 -0.916 2.763
```

Calculated values
Crystal system: monoclinic
Formation energy from the elements: -0.415 eV/atom

A relaxed structure of ReTc2Hg, computed with PBE-GGA.

The structure in extended XYZ format:
```
4
Lattice="-0.581 0.200 2.682 -0.104 -2.540 -1.055 9.280 -1.255 2.104" Properties=species:S:1:pos:R:3 pbc="T T T"
Tc 1.783 -1.457 1.296
Tc 0.011 -0.001 0.002
Re 6.824 -2.139 2.439
Hg 4.617 -0.624 1.047
```

Calculated values
Crystal system: orthorhombic
Formation energy from the elements: 0.549 eV/atom

A relaxed structure of Sb2NO, computed with PBE-GGA.

The structure in extended XYZ format:
```
8
Lattice="5.544 0.000 0.000 0.000 5.544 0.000 2.772 2.772 5.105" Properties=species:S:1:pos:R:3 pbc="T T T"
N 2.772 2.772 0.000
N 2.772 5.544 2.553
O 0.000 0.000 0.000
O 5.544 2.772 2.553
Sb 6.930 6.863 3.829
Sb 4.091 1.386 1.276
Sb 1.453 4.158 1.276
Sb 4.158 4.225 3.829
```

Calculated values
Crystal system: tetragonal
Formation energy without anion corrections: 0.206 eV per atom

A relaxed structure of Dy4Hg2Ge, computed with PBE-GGA.

The structure in extended XYZ format:
```
7
Lattice="-1.324 -4.228 2.621 -3.847 -1.722 -4.720 5.833 -2.320 -0.796" Properties=species:S:1:pos:R:3 pbc="T T T"
Dy 1.132 -5.764 -3.670
Dy 3.200 -1.739 -1.188
Dy -1.638 -1.440 -3.149
Dy 0.097 -3.658 -0.796
Hg -1.615 -4.574 -3.139
Hg 2.845 -4.850 -1.331
Ge 0.284 -0.577 -0.788
```

Calculated values
Crystal system: orthorhombic
Formation energy from the elements: -0.406 eV/atom

A relaxed structure of MoRhCl2, computed with PBE-GGA.

The structure in extended XYZ format:
```
4
Lattice="-0.933 2.181 3.747 1.851 -3.960 0.749 2.888 2.441 -2.318" Properties=species:S:1:pos:R:3 pbc="T T T"
Mo 0.459 -0.889 2.248
Rh 1.207 1.866 1.839
Cl 2.599 -1.204 0.339
Cl 0.000 0.000 0.000
```

Calculated values
Crystal system: tetragonal
Formation energy without anion corrections: 0.552 eV per atom

A relaxed structure of MgMnAl2Au4, computed with PBE-GGA.

The structure in extended XYZ format:
```
8
Lattice="4.543 0.000 0.000 2.271 3.934 0.000 2.271 1.311 7.481" Properties=species:S:1:pos:R:3 pbc="T T T"
Au 4.543 2.623 0.967
Au 2.271 1.311 4.663
Au 6.814 3.934 2.818
Au 4.543 2.623 6.514
Al 2.271 1.311 1.904
Al 6.814 3.934 5.577
Mg 0.000 0.000 0.000
Mn 4.543 2.623 3.740
```

Calculated values
Crystal system: trigonal
Formation energy from the elements: -0.360 eV/atom

A relaxed structure of CdCo2Se, computed with PBE-GGA.

The structure in extended XYZ format:
```
8
Lattice="-0.965 5.354 3.907 -5.350 1.702 -3.653 -4.847 1.953 1.867" Properties=species:S:1:pos:R:3 pbc="T T T"
Co -2.423 3.715 2.209
Co -8.828 7.533 1.849
Co -6.335 4.217 1.269
Co -4.736 2.554 -1.085
Cd -4.484 5.418 2.950
Cd 0.000 0.000 0.000
Se -3.157 3.528 0.127
Se -6.677 3.591 -0.830
```

Calculated values
Crystal system: tetragonal
Formation energy without anion corrections: 0.405 eV per atom